(1)
VASP calculation (PBE-GGA) on a relaxed structure of K2HBr.

Computed properties:
Its uncorrected energy is -2.768 eV per atom. As for the distance to the lowest polymorph of the same formula: 0 meV/atom. The value obtained for the calculated volume is 121 Å³/f.u.

a = 4.4657 Å, b = 7.5203 Å, c = 14.3699 Å
α = 90.00°, β = 90.00°, γ = 90.00°
With the nearest neighbours (Å) after each atom.
Sites, in units of the cell vectors:
H: 0.2500 0.0894 0.6090  5 K 2.72-2.89
Br: 0.7500 0.1021 0.8638  7 K 3.32-3.45
H: 0.7500 0.4106 0.1090  5 K 2.72-2.89
K: 0.7500 0.7090 0.9824  3 H 2.74-2.89
K: 0.2500 0.3531 0.7474  2 H 2.72-2.81
K: 0.7500 0.2090 0.5176  3 H 2.74-2.89
H: 0.2500 0.5894 0.8910  5 K 2.72-2.89
Br: 0.2500 0.8979 0.1362  7 K 3.32-3.45
K: 0.2500 0.2910 0.0176  3 H 2.74-2.89
K: 0.2500 0.8531 0.7526  2 H 2.72-2.81
H: 0.7500 0.9106 0.3910  5 K 2.72-2.89
K: 0.7500 0.1469 0.2474  2 H 2.72-2.81
K: 0.7500 0.6469 0.2526  2 H 2.72-2.81
K: 0.2500 0.7910 0.4824  3 H 2.74-2.89
Br: 0.7500 0.6021 0.6362  7 K 3.32-3.45
Br: 0.2500 0.3979 0.3638  7 K 3.32-3.45

=====

(2)
VASP calculation (PBE-GGA) on a relaxed structure of ZrV6.

Computed properties:
Its uncorrected energy is -7.414 eV per atom. As for the distance to the lowest polymorph of the same formula: 1481 meV/atom. The value obtained for the calculated volume is 135 Å³/f.u.

a = 5.6020 Å, b = 5.6020 Å, c = 5.6020 Å
α = 109.47°, β = 109.47°, γ = 109.47°
With the nearest neighbours (Å) after each atom.
Sites, in units of the cell vectors:
V: 0.7500 0.5000 0.2500  4 V 2.29
V: 0.2500 0.7500 0.5000  4 V 2.29
V: 0.7500 0.2500 0.5000  4 V 2.29
V: 0.5000 0.2500 0.7500  4 V 2.29
Zr: 0.0000 0.0000 0.0000  24 V 3.62
V: 0.5000 0.7500 0.2500  4 V 2.29
V: 0.2500 0.5000 0.7500  4 V 2.29

=====

(3)
VASP calculation (PBE-GGA) on a relaxed structure of Ca3Tb3HoSe8.

Computed properties:
Its uncorrected energy is -5.413 eV per atom. The calculation puts the uncorrected formation energy at -1.92 eV/atom. The value obtained for the calculated volume is 400 Å³/f.u.

a = 8.2143 Å, b = 8.2172 Å, c = 8.3285 Å
α = 119.56°, β = 90.00°, γ = 119.99°
With the nearest neighbours (Å) after each atom.
Sites, in units of the cell vectors:
Tb: 0.0000 0.5000 0.5000  6 Se 2.90-2.91
Ca: 0.5000 0.5000 0.0000  6 Se 2.94-2.96
Se: 0.7534 0.5067 0.2580  1 Ho 2.89, 2 Tb 2.90, 2 Ca 2.95
Se: 0.7537 0.0049 0.2587  1 Ho 2.88, 2 Tb 2.89-2.90, 2 Ca 2.96
Se: 0.2466 0.4933 0.7420  1 Ho 2.89, 2 Tb 2.90, 2 Ca 2.95
Ho: 0.0000 0.0000 0.5000  6 Se 2.88-2.89
Se: 0.2512 0.0049 0.2587  1 Ho 2.88, 2 Tb 2.89-2.90, 2 Ca 2.96
Se: 0.2463 0.9951 0.7413  1 Ho 2.88, 2 Tb 2.89-2.90, 2 Ca 2.96
Tb: 0.5000 0.0000 0.5000  6 Se 2.89-2.91
Se: 0.7488 0.4977 0.7464  3 Tb 2.91, 3 Ca 2.94
Se: 0.2512 0.5023 0.2536  3 Tb 2.91, 3 Ca 2.94
Se: 0.7488 0.9951 0.7413  1 Ho 2.88, 2 Tb 2.89-2.90, 2 Ca 2.96
Tb: 0.5000 0.5000 0.5000  6 Se 2.90-2.91
Ca: 0.0000 0.0000 0.0000  6 Se 2.94-2.96
Ca: 0.0000 0.5000 0.0000  6 Se 2.94-2.96

=====

(4)
VASP calculation (PBE-GGA) on a relaxed structure of IrRu2Rh.

Computed properties:
Its uncorrected energy is -8.670 eV per atom. As for the distance to the lowest polymorph of the same formula: 15 meV/atom. The value obtained for the calculated volume is 56 Å³/f.u.

a = 4.7044 Å, b = 4.7044 Å, c = 4.6957 Å
α = 131.84°, β = 131.84°, γ = 70.56°
With the nearest neighbours (Å) after each atom.
Sites, in units of the cell vectors:
Ru: 0.7500 0.2500 0.5000  4 Rh 2.71-2.72, 4 Ru 2.71-2.72, 4 Ir 2.71
Rh: 0.2500 0.7500 0.5000  8 Ru 2.71-2.72, 4 Ir 2.71-2.72
Ir: 0.5000 0.5000 0.0000  8 Ru 2.71-2.72, 4 Rh 2.71-2.72
Ru: 0.0001 0.0000 0.0000  4 Ir 2.71-2.72, 4 Rh 2.71-2.72, 4 Ru 2.71-2.72